VASP calculation (GGA-PBE) on a relaxed HfBi3Cl crystal.

Cell: 5.386 5.386 5.386 Å, 90.00 90.00 90.00°
Space group Pm-3m (No. 221)
Asymmetric unit:
Hf 0.000 0.000 0.000 (multiplicity 1)
Bi 0.000 0.500 0.500 (multiplicity 3)
Cl 0.500 0.500 0.500 (multiplicity 1)

Properties
N(E_F) ... 3.26 states/eV/f.u.
Calculated total energy ... -0.2886 Ry per atom
Distance to the lowest polymorph of the same formula ... 320 kJ/mol of formula units
ΔE_f (raw) ... 0.762 eV per atom

=====

VASP calculation (GGA-PBE) on a relaxed ZrTiSn crystal.

Cell: 4.8070 4.8070 3.1534 Å, 90.00 90.00 120.00°
Space group P3m1 (No. 156)
Asymmetric unit:
Zr 0.0000 0.0000 0.0000 (multiplicity 1)
Ti 0.6667 0.3333 0.3534 (multiplicity 1)
Sn 0.3333 0.6667 0.5992 (multiplicity 1)

Properties
N(E_F) ... 2.61 states/eV/f.u.
Calculated total energy ... -0.5112 Ry per atom
DFT formation energy ... -0.139 eV/atom

=====

VASP calculation (GGA-PBE) on a relaxed NpIn2Pd9 crystal.

Cell: 4.076 4.076 12.188 Å, 90.00 90.00 90.00°
Space group P4/mmm (No. 123)
Asymmetric unit:
Np 0.000 0.000 0.000 (multiplicity 1)
In 0.000 0.000 0.339 (multiplicity 2)
Pd 0.000 0.500 0.167 (multiplicity 4)
Pd 0.000 0.500 0.500 (multiplicity 2)
Pd 0.500 0.500 0.000 (multiplicity 1)
Pd 0.500 0.500 0.333 (multiplicity 2)

Properties
N(E_F) ... 14.30 states/eV/f.u.
Calculated total energy ... -0.4325 Ry per atom
DFT formation energy ... -0.455 eV/atom

=====

VASP calculation (GGA-PBE) on a relaxed K2Tl4Cd3Hg crystal.

Cell: 5.114 5.114 12.679 Å, 90.00 90.00 90.00°
Space group P-4m2 (No. 115)
Asymmetric unit:
K 0.000 0.500 0.245 (multiplicity 2)
Tl 0.000 0.000 0.500 (multiplicity 1)
Tl 0.000 0.500 0.868 (multiplicity 2)
Tl 0.500 0.500 0.500 (multiplicity 1)
Cd 0.000 0.000 0.000 (multiplicity 1)
Cd 0.000 0.500 0.635 (multiplicity 2)
Hg 0.500 0.500 0.000 (multiplicity 1)

Properties
N(E_F) ... 6.83 states/eV/f.u.
Calculated total energy ... -0.1119 Ry per atom
DFT formation energy ... -0.052 eV/atom

=====

VASP calculation (GGA-PBE) on a relaxed BaP2Ir crystal.

Cell: 5.064 5.064 3.170 Å, 90.00 90.00 90.00°
Space group P4/mmm (No. 123)
Asymmetric unit:
Ba 0.000 0.000 0.000 (multiplicity 1)
P 0.000 0.500 0.500 (multiplicity 2)
Ir 0.500 0.500 0.000 (multiplicity 1)

Properties
N(E_F) ... 4.84 states/eV/f.u.
Calculated total energy ... -0.3586 Ry per atom
DFT formation energy ... 0.522 eV/atom

=====

VASP calculation (GGA-PBE) on a relaxed SrSmTe2F crystal.

Cell: 4.384 4.384 15.742 Å, 90.00 90.00 90.00°
Space group P4/nmm (No. 129, origin choice 2)
Asymmetric unit:
Sr 0.250 0.250 0.084 (multiplicity 2)
Sm 0.250 0.250 0.627 (multiplicity 2)
Te 0.250 0.250 0.411 (multiplicity 2)
Te 0.250 0.250 0.811 (multiplicity 2)
F 0.250 0.750 0.000 (multiplicity 2)

Properties
N(E_F) ... 1.64 states/eV/f.u.
Calculated total energy ... -0.3741 Ry per atom
ΔE_f (raw) ... -2.179 eV per atom

=====

VASP calculation (GGA-PBE) on a relaxed SrZr2Mn crystal.

Cell: 4.436 4.436 5.014 Å, 90.00 90.00 90.00°
Space group P4/mmm (No. 123)
Asymmetric unit:
Sr 0.000 0.000 0.000 (multiplicity 1)
Zr 0.000 0.500 0.500 (multiplicity 2)
Mn 0.500 0.500 0.000 (multiplicity 1)

Properties
N(E_F) ... 5.71 states/eV/f.u.
Calculated total energy ... -0.4666 Ry per atom
DFT formation energy ... 0.639 eV/atom
Distance to the lowest polymorph of the same formula ... 126 kJ/mol of formula units

=====

VASP calculation (GGA-PBE) on a relaxed Pu3Ge2Pd5 crystal.

Cell: 11.734 12.147 5.691 Å, 90.00 90.00 90.00°
Space group Ibam (No. 72)
Asymmetric unit:
Pu 0.000 0.000 0.250 (multiplicity 4)
Pu 0.109 0.283 0.000 (multiplicity 8)
Ge 0.143 0.154 0.500 (multiplicity 8)
Pd 0.000 0.500 0.250 (multiplicity 4)
Pd 0.134 0.353 0.500 (multiplicity 8)
Pd 0.242 0.000 0.250 (multiplicity 8)

Properties
N(E_F) ... 33.52 states/eV/f.u.
Calculated total energy ... -0.6031 Ry per atom
DFT formation energy ... -0.387 eV/atom

=====

Q: Which of these has the highest calculated total energy?
A: K2Tl4Cd3Hg